{"formula": "Mg2CdHg", "functional": "meta-GGA SCAN", "state": "single point on PBEsol structure", "sg": "P4mm", "crystal_system": "tetragonal", "ef_ev_per_fu": -0.48, "vol_a3_per_atom": 21.40, "dos_at_fermi_per_ev_cell": 1.494, "lattice_angstrom": [[-1.532, 1.503, -2.392], [-2.823, -0.719, 1.356], [0.256, 7.089, 4.290]], "species": ["Mg", "Mg", "Hg", "Cd"], "frac_coords": [[0.000, 0.000, 0.986], [0.500, 0.500, 0.258], [0.500, 0.500, 0.756], [0.000, 0.000, 0.501]]}